*a*
A plane-wave DFT calculation with GGA-PBE was carried out for an optimized crystal structure of TmSn2Pd7.

Lattice parameters (Å, degrees): 4.097 4.097 11.523 100.24 100.24 90.00
Positions (direct):
Tm 0.000 0.000 0.000
Sn 0.670 0.670 0.341
Sn 0.330 0.330 0.659
Pd 0.092 0.592 0.184
Pd 0.408 0.908 0.816
Pd 0.592 0.092 0.184
Pd 0.500 0.500 0.000
Pd 0.750 0.250 0.500
Pd 0.908 0.408 0.816
Pd 0.250 0.750 0.500

Calculated values
- Density of states at the Fermi level: 3.1 states/eV/cell


*b*
A plane-wave DFT calculation with GGA-PBE was carried out for an optimized crystal structure of TmSn2Pd7.

Lattice parameters (Å, degrees): 4.419 7.663 7.663 122.41 90.00 90.00
Positions (direct):
Tm 0.000 0.000 0.000
Sn 0.500 0.698 0.302
Sn 0.500 0.302 0.698
Pd 0.000 0.798 0.202
Pd 0.000 0.202 0.798
Pd 0.500 0.075 0.289
Pd 0.500 0.925 0.711
Pd 0.500 0.289 0.075
Pd 0.500 0.711 0.925
Pd 0.500 0.500 0.500

Calculated values
- Density of states at the Fermi level: 3.4 states/eV/cell


Of them, *a* has the highest stability.


*a*
A plane-wave DFT calculation with GGA-PBE was carried out for an optimized crystal structure of TmSnPd6.

Lattice parameters (Å, degrees): 4.080 4.080 8.083 90.00 90.00 90.00
Positions (direct):
Tm 0.000 0.000 0.500
Sn 0.000 0.000 0.000
Pd 0.500 0.500 0.000
Pd 0.500 0.500 0.500
Pd 0.500 0.000 0.244
Pd 0.500 0.000 0.756
Pd 0.000 0.500 0.244
Pd 0.000 0.500 0.756

Calculated values
- Density of states at the Fermi level: 1.7 states/eV/cell


*b*
A plane-wave DFT calculation with GGA-PBE was carried out for an optimized crystal structure of TmSnPd6.

Lattice parameters (Å, degrees): 4.896 4.896 7.353 73.98 73.98 67.86
Positions (direct):
Tm 0.500 0.500 0.500
Sn 0.000 0.000 0.000
Pd 0.063 0.546 0.298
Pd 0.546 0.063 0.298
Pd 0.454 0.937 0.702
Pd 0.937 0.454 0.702
Pd 0.353 0.353 0.939
Pd 0.647 0.647 0.061

Calculated values
- Density of states at the Fermi level: 4.5 states/eV/cell


Of them, *a* has the highest stability.


*a*
A plane-wave DFT calculation with GGA-PBE was carried out for an optimized crystal structure of USnPd4.

Lattice parameters (Å, degrees): 5.747 5.560 7.727 90.00 90.00 68.91
Positions (direct):
U 0.500 0.250 0.250
U 0.500 0.750 0.750
Sn 0.000 0.250 0.750
Sn 0.000 0.750 0.250
Pd 0.242 0.510 0.942
Pd 0.242 0.510 0.558
Pd 0.758 0.990 0.942
Pd 0.758 0.490 0.442
Pd 0.758 0.990 0.558
Pd 0.242 0.010 0.058
Pd 0.242 0.010 0.442
Pd 0.758 0.490 0.058

Calculated values
- Density of states at the Fermi level: 15.7 states/eV/cell


*b*
A plane-wave DFT calculation with GGA-PBE was carried out for an optimized crystal structure of USnPd4.

Lattice parameters (Å, degrees): 5.385 5.385 5.385 60.00 60.00 60.00
Positions (direct):
U 0.250 0.250 0.250
Sn 0.000 0.000 0.000
Pd 0.625 0.625 0.125
Pd 0.625 0.125 0.625
Pd 0.625 0.625 0.625
Pd 0.125 0.625 0.625

Calculated values
- Density of states at the Fermi level: 11.3 states/eV/cell


Of them, *b* has the highest stability.


*a*
A plane-wave DFT calculation with GGA-PBE was carried out for an optimized crystal structure of USnPd6.

Lattice parameters (Å, degrees): 5.396 5.396 7.561 69.09 69.09 60.00
Positions (direct):
U 0.000 0.000 0.000
Sn 0.500 0.500 0.500
Pd 0.931 0.931 0.700
Pd 0.438 0.931 0.700
Pd 0.069 0.562 0.300
Pd 0.562 0.069 0.300
Pd 0.069 0.069 0.300
Pd 0.931 0.438 0.700

Calculated values
- Density of states at the Fermi level: 6.2 states/eV/cell


*b*
A plane-wave DFT calculation with GGA-PBE was carried out for an optimized crystal structure of USnPd6.

Lattice parameters (Å, degrees): 4.104 4.104 8.138 90.00 90.00 90.00
Positions (direct):
U 0.000 0.000 0.500
Sn 0.000 0.000 0.000
Pd 0.500 0.500 0.000
Pd 0.500 0.500 0.500
Pd 0.500 0.000 0.250
Pd 0.500 0.000 0.750
Pd 0.000 0.500 0.250
Pd 0.000 0.500 0.750

Calculated values
- Density of states at the Fermi level: 9.7 states/eV/cell


Of them, *b* has the highest stability.


*a*
A plane-wave DFT calculation with GGA-PBE was carried out for an optimized crystal structure of USn2Pd8.

Lattice parameters (Å, degrees): 4.167 6.609 7.645 109.19 105.81 90.00
Positions (direct):
U 0.500 0.000 0.000
Sn 0.790 0.338 0.580
Sn 0.210 0.662 0.420
Pd 0.405 0.552 0.809
Pd 0.675 0.920 0.349
Pd 0.854 0.795 0.708
Pd 0.963 0.263 0.926
Pd 0.146 0.205 0.292
Pd 0.325 0.080 0.651
Pd 0.595 0.448 0.191
Pd 0.037 0.737 0.074

Calculated values
- Density of states at the Fermi level: 9.0 states/eV/cell


*b*
A plane-wave DFT calculation with GGA-PBE was carried out for an optimized crystal structure of USn2Pd8.

Lattice parameters (Å, degrees): 5.010 5.017 7.693 95.45 94.58 97.96
Positions (direct):
U 0.500 0.000 0.000
Sn 0.096 0.802 0.288
Sn 0.904 0.198 0.712
Pd 0.570 0.550 0.183
Pd 0.346 0.910 0.643
Pd 0.226 0.363 0.451
Pd 0.969 0.733 0.911
Pd 0.774 0.637 0.549
Pd 0.654 0.090 0.357
Pd 0.430 0.450 0.817
Pd 0.031 0.267 0.089

Calculated values
- Density of states at the Fermi level: 9.8 states/eV/cell


Of them, *a* has the highest stability.


*a*
A plane-wave DFT calculation with GGA-PBE was carried out for an optimized crystal structure of VSn2Pd.

Lattice parameters (Å, degrees): 7.441 7.441 6.076 52.24 52.24 90.00
Positions (direct):
Sn 0.640 0.125 0.250
Sn 0.110 0.625 0.250
Sn 0.375 0.360 0.750
Sn 0.875 0.890 0.750
Pd 0.000 0.000 0.000
Pd 0.750 0.250 0.500
V 0.500 0.500 0.000
V 0.250 0.750 0.500

Calculated values
- Density of states at the Fermi level: 8.6 states/eV/cell


*b*
A plane-wave DFT calculation with GGA-PBE was carried out for an optimized crystal structure of VSn2Pd.

Lattice parameters (Å, degrees): 4.769 4.769 4.769 60.00 60.00 60.00
Positions (direct):
Sn 0.250 0.250 0.250
Sn 0.750 0.750 0.750
Pd 0.500 0.500 0.500
V 0.000 0.000 0.000

Calculated values
- Density of states at the Fermi level: 3.0 states/eV/cell


*c*
A plane-wave DFT calculation with GGA-PBE was carried out for an optimized crystal structure of VSn2Pd.

Lattice parameters (Å, degrees): 3.092 3.092 9.804 80.93 80.93 60.00
Positions (direct):
Sn 0.090 0.090 0.730
Sn 0.910 0.910 0.270
Pd 0.000 0.000 0.000
V 0.500 0.500 0.500

Calculated values
- Density of states at the Fermi level: 2.4 states/eV/cell


*d*
A plane-wave DFT calculation with GGA-PBE was carried out for an optimized crystal structure of VSn2Pd.

Lattice parameters (Å, degrees): 3.343 4.695 4.695 90.00 90.00 90.00
Positions (direct):
Sn 0.000 0.000 0.500
Sn 0.000 0.500 0.000
Pd 0.500 0.000 0.000
V 0.500 0.500 0.500

Calculated values
- Density of states at the Fermi level: 2.7 states/eV/cell


Of them, *d* has the highest stability.


*a*
A plane-wave DFT calculation with GGA-PBE was carried out for an optimized crystal structure of V2Sn2Pd.

Lattice parameters (Å, degrees): 7.188 7.188 3.504 90.00 90.00 90.00
Positions (direct):
Sn 0.190 0.690 0.500
Sn 0.690 0.810 0.500
Sn 0.810 0.310 0.500
Sn 0.310 0.190 0.500
Pd 0.000 0.000 0.000
Pd 0.500 0.500 0.000
V 0.393 0.893 0.000
V 0.893 0.607 0.000
V 0.607 0.107 0.000
V 0.107 0.393 0.000

Calculated values
- Density of states at the Fermi level: 8.7 states/eV/cell


*b*
A plane-wave DFT calculation with GGA-PBE was carried out for an optimized crystal structure of V2Sn2Pd.

Lattice parameters (Å, degrees): 4.054 4.054 6.573 72.04 72.04 90.00
Positions (direct):
Sn 0.750 0.250 0.500
Sn 0.250 0.750 0.500
Pd 0.000 0.000 0.000
V 0.419 0.419 0.163
V 0.581 0.581 0.837

Calculated values
- Density of states at the Fermi level: 5.4 states/eV/cell


Of them, *a* has the highest stability.


*a*
A plane-wave DFT calculation with GGA-PBE was carried out for an optimized crystal structure of VSnPd3.

Lattice parameters (Å, degrees): 4.683 4.683 4.683 90.00 90.00 90.00
Positions (direct):
Sn 0.500 0.500 0.500
Pd 0.000 0.500 0.000
Pd 0.000 0.000 0.500
Pd 0.500 0.000 0.000
V 0.000 0.000 0.000

Calculated values
- Density of states at the Fermi level: 4.0 states/eV/cell


*b*
A plane-wave DFT calculation with GGA-PBE was carried out for an optimized crystal structure of VSnPd3.

Lattice parameters (Å, degrees): 4.891 4.891 4.891 90.00 90.00 90.00
Positions (direct):
Sn 0.000 0.000 0.000
Pd 0.000 0.500 0.000
Pd 0.000 0.000 0.500
Pd 0.500 0.000 0.000
V 0.500 0.500 0.500

Calculated values
- Density of states at the Fermi level: 9.8 states/eV/cell


Of them, *a* has the highest stability.


*a*
A plane-wave DFT calculation with GGA-PBE was carried out for an optimized crystal structure of Sn3PdW.

Lattice parameters (Å, degrees): 5.131 5.131 5.131 90.00 90.00 90.00
Positions (direct):
Pd 0.000 0.000 0.000
Sn 0.000 0.500 0.000
Sn 0.000 0.000 0.500
Sn 0.500 0.000 0.000
W 0.500 0.500 0.500

Calculated values
- Density of states at the Fermi level: 3.2 states/eV/cell


*b*
A plane-wave DFT calculation with GGA-PBE was carried out for an optimized crystal structure of Sn3PdW.

Lattice parameters (Å, degrees): 5.220 5.220 5.220 90.00 90.00 90.00
Positions (direct):
Pd 0.500 0.500 0.500
Sn 0.000 0.500 0.000
Sn 0.000 0.000 0.500
Sn 0.500 0.000 0.000
W 0.000 0.000 0.000

Calculated values
- Density of states at the Fermi level: 5.9 states/eV/cell


Of them, *b* has the highest stability.


*a*
A plane-wave DFT calculation with GGA-PBE was carried out for an optimized crystal structure of SnPd3W.

Lattice parameters (Å, degrees): 4.864 4.864 4.864 90.00 90.00 90.00
Positions (direct):
Pd 0.000 0.500 0.000
Pd 0.000 0.000 0.500
Pd 0.500 0.000 0.000
Sn 0.500 0.500 0.500
W 0.000 0.000 0.000

Calculated values
- Density of states at the Fermi level: 4.9 states/eV/cell


*b*
A plane-wave DFT calculation with GGA-PBE was carried out for an optimized crystal structure of SnPd3W.

Lattice parameters (Å, degrees): 4.848 4.848 4.848 90.00 90.00 90.00
Positions (direct):
Pd 0.000 0.500 0.000
Pd 0.000 0.000 0.500
Pd 0.500 0.000 0.000
Sn 0.000 0.000 0.000
W 0.500 0.500 0.500

Calculated values
- Density of states at the Fermi level: 4.4 states/eV/cell


Of them, *a* has the highest stability.


*a*
A plane-wave DFT calculation with GGA-PBE was carried out for an optimized crystal structure of YSn2Pd4.

Lattice parameters (Å, degrees): 5.110 5.110 7.648 70.48 70.48 90.00
Positions (direct):
Y 0.000 0.000 0.000
Sn 0.388 0.388 0.224
Sn 0.612 0.612 0.776
Pd 0.194 0.194 0.613
Pd 0.806 0.806 0.387
Pd 0.000 0.500 0.000
Pd 0.500 0.000 0.000

Calculated values
- Density of states at the Fermi level: 2.9 states/eV/cell


*b*
A plane-wave DFT calculation with GGA-PBE was carried out for an optimized crystal structure of YSn2Pd4.

Lattice parameters (Å, degrees): 4.560 4.560 8.281 74.02 74.02 60.00
Positions (direct):
Y 0.000 0.000 0.000
Sn 0.756 0.756 0.732
Sn 0.244 0.244 0.268
Pd 0.871 0.871 0.388
Pd 0.129 0.129 0.612
Pd 0.596 0.596 0.211
Pd 0.404 0.404 0.789

Calculated values
- Density of states at the Fermi level: 4.5 states/eV/cell


Of them, *b* has the highest stability.